Record 1
The following is a DFT calculation (PBE-GGA) of a relaxed structure of Co3NiSn.

Cell: 4.3015 4.3015 4.3015 Å, 90.00 90.00 90.00°
Last column: nearest neighbours and their distance in Å.
Fractional positions:
Ni: 0.0000 0.0000 0.0000  6 Co 2.15
Co: 0.0000 0.5000 0.0000  2 Ni 2.15
Co: 0.0000 0.0000 0.5000  2 Ni 2.15
Co: 0.5000 0.0000 0.0000  2 Ni 2.15
Sn: 0.5000 0.5000 0.5000  12 Co 3.04

Output
The calculation puts the density of states at the Fermi level at 7.7 states/eV per cell. As for the space group: Pm-3m, No. 221. The formation energy is 0.837 eV per atom. The energy relative to the lowest polymorph listed for this composition is 0 meV per atom. For the volume, the calculation gives 79.6 Å³ per cell.



Record 2
The following is a DFT calculation (PBE-GGA) of a relaxed structure of Co2NiSn.

Cell: 3.6290 3.6290 9.2500 Å, 78.69 78.69 90.00°
Last column: nearest neighbours and their distance in Å.
Fractional positions:
Ni: 0.5000 0.5000 0.0000  4 Co 2.50, 4 Sn 2.57
Ni: 0.2500 0.7500 0.5000  4 Co 2.50, 4 Sn 2.57
Co: 0.5729 0.1250 0.2500  2 Co 2.31, 2 Ni 2.50
Co: 0.1771 0.6250 0.2500  2 Co 2.31, 2 Ni 2.50
Co: 0.3750 0.4271 0.7500  2 Co 2.31, 2 Ni 2.50
Co: 0.8750 0.8229 0.7500  2 Co 2.31, 2 Ni 2.50
Sn: 0.0000 0.0000 0.0000  4 Ni 2.57, 4 Co 2.64
Sn: 0.7500 0.2500 0.5000  4 Ni 2.57, 4 Co 2.64

Output
The calculation puts the density of states at the Fermi level at 7.3 states/eV per cell. As for the space group: I-42d, No. 122. The formation energy is 0.356 eV per atom. For the volume, the calculation gives 117.0 Å³ per cell.



Record 3
The following is a DFT calculation (PBE-GGA) of a relaxed structure of CoNiSn6.

Cell: 7.9751 7.9751 8.0543 Å, 109.38 109.54 109.09°
Last column: nearest neighbours and their distance in Å.
Fractional positions:
Co: 0.0000 0.5000 0.0000  6 Sn 2.51-2.52
Co: 0.5000 0.0000 0.0000  6 Sn 2.51-2.52
Ni: 0.0000 0.0000 0.5000  6 Sn 2.54-2.55
Ni: 0.5000 0.5000 0.5000  6 Sn 2.54-2.55
Sn: 0.1691 0.6855 0.8546  2 Co 2.51
Sn: 0.8309 0.3145 0.1454  2 Co 2.51
Sn: 0.8383 0.6745 0.5128  2 Ni 2.55
Sn: 0.1617 0.3255 0.4872  2 Ni 2.55
Sn: 0.8443 0.1685 0.6805  1 Co 2.52, 1 Ni 2.54
Sn: 0.1557 0.8315 0.3195  1 Co 2.52, 1 Ni 2.54
Sn: 0.5120 0.8362 0.6805  1 Co 2.52, 1 Ni 2.54
Sn: 0.4880 0.1638 0.3195  1 Co 2.52, 1 Ni 2.54
Sn: 0.6791 0.8447 0.1644  1 Co 2.51, 1 Ni 2.54
Sn: 0.3209 0.1553 0.8356  1 Co 2.51, 1 Ni 2.54
Sn: 0.6803 0.5147 0.8356  1 Co 2.51, 1 Ni 2.54
Sn: 0.3197 0.4853 0.1644  1 Co 2.51, 1 Ni 2.54

Output
The calculation puts the density of states at the Fermi level at 11.4 states/eV per cell. As for the space group: C2/m, No. 12. The formation energy is -0.015 eV per atom. The energy relative to the lowest polymorph listed for this composition is 0 meV per atom. For the volume, the calculation gives 396.3 Å³ per cell.



Record 4
The following is a DFT calculation (PBE-GGA) of a relaxed structure of CoNiSn.

Cell: 4.3070 5.2499 7.4491 Å, 90.00 90.00 90.00°
Last column: nearest neighbours and their distance in Å.
Fractional positions:
Ni: 0.7500 0.7496 0.5835  5 Sn 2.48-2.63
Ni: 0.2500 0.2494 0.4165  5 Sn 2.48-2.63
Ni: 0.7500 0.2506 0.9165  5 Sn 2.48-2.63
Ni: 0.2500 0.7504 0.0835  5 Sn 2.48-2.63
Co: 0.7500 0.0000 0.2500  2 Co 2.62, 6 Sn 2.81, 6 Ni 2.81
Co: 0.2500 0.0000 0.7500  2 Co 2.62, 6 Sn 2.81, 6 Ni 2.81
Co: 0.7500 0.5000 0.2500  2 Co 2.62, 6 Sn 2.81, 6 Ni 2.81
Co: 0.2500 0.5000 0.7500  2 Co 2.62, 6 Sn 2.81, 6 Ni 2.81
Sn: 0.7500 0.7504 0.9169  5 Ni 2.48-2.63
Sn: 0.2500 0.2503 0.0831  5 Ni 2.48-2.63
Sn: 0.7500 0.2497 0.5831  5 Ni 2.48-2.63
Sn: 0.2500 0.7496 0.4169  5 Ni 2.48-2.63

Output
The calculation puts the density of states at the Fermi level at 11.5 states/eV per cell. As for the space group: P6_3/mmc, No. 194. The formation energy is -0.020 eV per atom. For the volume, the calculation gives 168.4 Å³ per cell.



Record 5
The following is a DFT calculation (PBE-GGA) of a relaxed structure of CoNiSn2.

Cell: 4.4841 4.4841 4.4841 Å, 60.00 60.00 60.00°
Last column: nearest neighbours and their distance in Å.
Fractional positions:
Ni: 0.5000 0.5000 0.5000  8 Sn 2.75
Co: 0.0000 0.0000 0.0000  8 Sn 2.75
Sn: 0.2500 0.2500 0.2500  4 Co 2.75, 4 Ni 2.75
Sn: 0.7500 0.7500 0.7500  4 Co 2.75, 4 Ni 2.75

Output
The calculation puts the density of states at the Fermi level at 2.3 states/eV per cell. As for the space group: Fm-3m, No. 225. The formation energy is 0.082 eV per atom. The energy relative to the lowest polymorph listed for this composition is 0 meV per atom. For the volume, the calculation gives 63.8 Å³ per cell.



Record 6
The following is a DFT calculation (PBE-GGA) of a relaxed structure of CoNi2Sn4.

Cell: 4.0376 5.3028 6.4897 Å, 104.32 108.12 90.00°
Last column: nearest neighbours and their distance in Å.
Fractional positions:
Co: 0.0000 0.0000 0.0000  6 Sn 2.53-2.60, 2 Ni 2.80
Ni: 0.7831 0.6643 0.5662  2 Ni 2.65, 7 Sn 2.67-2.79, 1 Co 2.80
Ni: 0.2169 0.3357 0.4338  2 Ni 2.65, 7 Sn 2.67-2.79, 1 Co 2.80
Sn: 0.8318 0.1892 0.6637  1 Co 2.53, 4 Ni 2.69-2.74
Sn: 0.1682 0.8108 0.3363  1 Co 2.53, 4 Ni 2.69-2.74
Sn: 0.5724 0.3060 0.1448  2 Co 2.60, 3 Ni 2.67-2.79
Sn: 0.4276 0.6940 0.8552  2 Co 2.60, 3 Ni 2.67-2.79

Output
The calculation puts the density of states at the Fermi level at 3.5 states/eV per cell. As for the space group: C2/m, No. 12. The formation energy is -0.170 eV per atom. The energy relative to the lowest polymorph listed for this composition is 0 meV per atom. For the volume, the calculation gives 127.5 Å³ per cell.



Record 7
The following is a DFT calculation (PBE-GGA) of a relaxed structure of CoNiSn5.

Cell: 6.5782 6.5782 9.3266 Å, 69.09 69.09 66.33°
Last column: nearest neighbours and their distance in Å.
Fractional positions:
Co: 0.0000 0.0000 0.0000  6 Sn 2.41-2.56
Co: 0.0000 0.0000 0.5000  6 Sn 2.41-2.56
Ni: 0.5482 0.4518 0.2500  5 Sn 2.57-2.65
Ni: 0.4518 0.5482 0.7500  5 Sn 2.57-2.65
Sn: 0.8464 0.6663 0.1276  1 Co 2.51, 1 Ni 2.57
Sn: 0.2406 0.5830 0.5007  1 Co 2.56, 1 Ni 2.64
Sn: 0.6663 0.8464 0.6276  1 Co 2.51, 1 Ni 2.57
Sn: 0.9159 0.0841 0.2500  2 Co 2.41, 1 Ni 2.65
Sn: 0.4170 0.7594 0.9993  1 Co 2.56, 1 Ni 2.64
Sn: 0.5830 0.2406 0.0007  1 Co 2.56, 1 Ni 2.64
Sn: 0.0841 0.9159 0.7500  2 Co 2.41, 1 Ni 2.65
Sn: 0.3337 0.1536 0.3724  1 Co 2.51, 1 Ni 2.57
Sn: 0.7594 0.4170 0.4993  1 Co 2.56, 1 Ni 2.64
Sn: 0.1536 0.3337 0.8724  1 Co 2.51, 1 Ni 2.57

Output
The calculation puts the density of states at the Fermi level at 8.4 states/eV per cell. As for the space group: C2/c, No. 15. The formation energy is 0.041 eV per atom. For the volume, the calculation gives 334.4 Å³ per cell.



Record 8
The following is a DFT calculation (PBE-GGA) of a relaxed structure of Co2NiSn2.

Cell: 7.1866 7.1866 2.9831 Å, 90.00 90.00 90.00°
Last column: nearest neighbours and their distance in Å.
Fractional positions:
Ni: 0.0000 0.0000 0.0000  4 Sn 2.69, 2 Ni 2.98
Ni: 0.5000 0.5000 0.0000  4 Sn 2.69, 2 Ni 2.98
Co: 0.1350 0.6350 0.5000  6 Sn 2.54-2.62, 1 Co 2.74
Co: 0.6350 0.8650 0.5000  6 Sn 2.54-2.62, 1 Co 2.74
Co: 0.8650 0.3650 0.5000  6 Sn 2.54-2.62, 1 Co 2.74
Co: 0.3650 0.1350 0.5000  6 Sn 2.54-2.62, 1 Co 2.74
Sn: 0.3372 0.8372 0.0000  6 Co 2.54-2.62, 2 Ni 2.69
Sn: 0.8372 0.6628 0.0000  6 Co 2.54-2.62, 2 Ni 2.69
Sn: 0.6628 0.1628 0.0000  6 Co 2.54-2.62, 2 Ni 2.69
Sn: 0.1628 0.3372 0.0000  6 Co 2.54-2.62, 2 Ni 2.69

Output
The calculation puts the density of states at the Fermi level at 8.9 states/eV per cell. As for the space group: P4/mbm, No. 127. The formation energy is 0.185 eV per atom. The energy relative to the lowest polymorph listed for this composition is 68 meV per atom. For the volume, the calculation gives 154.1 Å³ per cell.



Record 9
The following is a DFT calculation (PBE-GGA) of a relaxed structure of CoNi4Sn.

Cell: 4.3489 4.3481 8.5368 Å, 104.78 104.76 90.00°
Last column: nearest neighbours and their distance in Å.
Fractional positions:
Co: 0.5000 0.0000 0.5000  10 Ni 2.47-2.50
Co: 0.0000 0.5000 0.5000  10 Ni 2.47-2.50
Ni: 0.6535 0.1577 0.8145  1 Co 2.50, 4 Ni 2.53, 4 Sn 2.62-2.63
Ni: 0.8390 0.3423 0.1855  1 Co 2.50, 4 Ni 2.53, 4 Sn 2.62-2.63
Ni: 0.3465 0.8423 0.1855  1 Co 2.50, 4 Ni 2.53, 4 Sn 2.62-2.63
Ni: 0.1610 0.6577 0.8145  1 Co 2.50, 4 Ni 2.53, 4 Sn 2.62-2.63
Ni: 0.0722 0.0763 0.6514  5 Ni 2.41-2.53, 4 Co 2.47-2.50
Ni: 0.4207 0.4237 0.3486  5 Ni 2.41-2.53, 4 Co 2.47-2.50
Ni: 0.9278 0.9237 0.3486  5 Ni 2.41-2.53, 4 Co 2.47-2.50
Ni: 0.5793 0.5763 0.6514  5 Ni 2.41-2.53, 4 Co 2.47-2.50
Sn: 0.7521 0.7500 0.0000  10 Ni 2.62-2.78
Sn: 0.2479 0.2500 0.0000  10 Ni 2.62-2.78

Output
The calculation puts the density of states at the Fermi level at 14.1 states/eV per cell. As for the space group: Imma, No. 74. The formation energy is 0.061 eV per atom. For the volume, the calculation gives 150.6 Å³ per cell.



Record 10
The following is a DFT calculation (PBE-GGA) of a relaxed structure of CoNi2Sn4.

Cell: 4.1113 4.1113 9.2786 Å, 77.20 77.20 60.00°
Last column: nearest neighbours and their distance in Å.
Fractional positions:
Ni: 0.5939 0.5939 0.2184  1 Co 2.53, 6 Sn 2.59-2.73
Ni: 0.4061 0.4061 0.7816  1 Co 2.53, 6 Sn 2.59-2.73
Co: 0.5000 0.5000 0.5000  2 Ni 2.53, 6 Sn 2.65
Sn: 0.7013 0.7013 0.8961  4 Ni 2.59-2.89
Sn: 0.8770 0.8770 0.3689  3 Co 2.65, 3 Ni 2.73
Sn: 0.2987 0.2987 0.1039  4 Ni 2.59-2.89
Sn: 0.1230 0.1230 0.6311  3 Co 2.65, 3 Ni 2.73

Output
The calculation puts the density of states at the Fermi level at 3.8 states/eV per cell. As for the space group: R-3m, No. 166. The formation energy is -0.139 eV per atom. The energy relative to the lowest polymorph listed for this composition is 32 meV per atom. For the volume, the calculation gives 131.3 Å³ per cell.



Record 11
The following is a DFT calculation (PBE-GGA) of a relaxed structure of CoNi3Sn6.

Cell: 6.7648 6.3867 9.0218 Å, 90.00 96.83 90.00°
Last column: nearest neighbours and their distance in Å.
Fractional positions:
Co: 0.5000 0.5000 0.5000  6 Sn 2.53-2.58
Co: 0.0000 0.0000 0.0000  6 Sn 2.53-2.58
Ni: 0.5221 0.8304 0.7207  7 Sn 2.59-2.87, 1 Co 2.89
Ni: 0.5000 0.5000 0.0000  6 Sn 2.56-2.62
Ni: 0.4779 0.1696 0.2793  7 Sn 2.59-2.87, 1 Co 2.89
Ni: 0.0221 0.6696 0.2207  7 Sn 2.59-2.87, 1 Co 2.89
Ni: 0.0000 0.0000 0.5000  6 Sn 2.56-2.62
Ni: 0.9779 0.3304 0.7793  7 Sn 2.59-2.87, 1 Co 2.89
Sn: 0.6584 0.1585 0.9039  1 Co 2.58, 3 Ni 2.62-2.78
Sn: 0.6726 0.1550 0.5676  1 Co 2.53, 3 Ni 2.56-2.77
Sn: 0.6788 0.5170 0.2657  3 Ni 2.56-2.61, 1 Co 2.56
Sn: 0.3212 0.4830 0.7343  3 Ni 2.56-2.61, 1 Co 2.56
Sn: 0.3274 0.8450 0.4324  1 Co 2.53, 3 Ni 2.56-2.77
Sn: 0.3416 0.8415 0.0961  1 Co 2.58, 3 Ni 2.62-2.78
Sn: 0.1584 0.3415 0.4039  1 Co 2.58, 3 Ni 2.62-2.78
Sn: 0.1726 0.3450 0.0676  1 Co 2.53, 3 Ni 2.56-2.77
Sn: 0.1788 0.9830 0.7657  3 Ni 2.56-2.61, 1 Co 2.56
Sn: 0.8212 0.0170 0.2343  3 Ni 2.56-2.61, 1 Co 2.56
Sn: 0.8274 0.6550 0.9324  1 Co 2.53, 3 Ni 2.56-2.77
Sn: 0.8416 0.6585 0.5961  1 Co 2.58, 3 Ni 2.62-2.78

Output
The calculation puts the density of states at the Fermi level at 11.1 states/eV per cell. As for the space group: P2_1/c, No. 14. The formation energy is -0.076 eV per atom. For the volume, the calculation gives 387.0 Å³ per cell.



Record 12
The following is a DFT calculation (PBE-GGA) of a relaxed structure of CoNiSn.

Cell: 2.9161 4.1084 4.1084 Å, 120.00 90.00 90.00°
Last column: nearest neighbours and their distance in Å.
Fractional positions:
Ni: 0.9964 0.0000 0.0000  3 Sn 2.54, 3 Co 2.56
Co: 0.3227 0.3333 0.6667  3 Ni 2.56, 3 Sn 2.59
Sn: 0.6809 0.6667 0.3333  3 Ni 2.54, 3 Co 2.59

Output
The calculation puts the density of states at the Fermi level at 3.5 states/eV per cell. As for the space group: P3m1, No. 156. The formation energy is 0.160 eV per atom. For the volume, the calculation gives 42.6 Å³ per cell.



Record 13
The following is a DFT calculation (PBE-GGA) of a relaxed structure of ThCoNiSn.

Cell: 4.7210 4.7210 4.7210 Å, 60.00 60.00 60.00°
Last column: nearest neighbours and their distance in Å.
Fractional positions:
Ni: 0.2500 0.2500 0.2500  4 Th 2.89, 4 Sn 2.89
Co: 0.7500 0.7500 0.7500  4 Th 2.89, 4 Sn 2.89
Sn: 0.5000 0.5000 0.5000  4 Ni 2.89, 4 Co 2.89
Th: 0.0000 0.0000 0.0000  4 Co 2.89, 4 Ni 2.89

Output
The calculation puts the density of states at the Fermi level at 4.0 states/eV per cell. As for the space group: F-43m, No. 216. The formation energy is -0.302 eV per atom. For the volume, the calculation gives 74.4 Å³ per cell.